Entry 1:
# Pr6NdDy2Er3 (PBE-GGA, relaxed)
data_Pr6NdDy2Er3
_chemical_formula_sum 'Pr12 Nd2 Dy4 Er6'
_symmetry_space_group_name_H-M 'C 1 2/m 1'
_symmetry_Int_Tables_number 12
_symmetry_space_group_name_Hall '-C 2y'
_cell_length_a 6.3102
_cell_length_b 10.9309
_cell_length_c 11.9103
_cell_angle_alpha 90.00
_cell_angle_beta 100.14
_cell_angle_gamma 90.00
loop_
_atom_site_label
_atom_site_type_symbol
_atom_site_fract_x
_atom_site_fract_y
_atom_site_fract_z
Pr1 Pr 0.2494 0.0000 0.2477
Pr2 Pr 0.2485 0.3330 0.2476
Nd1 Nd 0.0000 0.0000 0.5000
Dy1 Dy 0.0000 0.3335 0.5000
Er1 Er 0.0000 0.1668 0.0000
Er2 Er 0.0000 0.5000 0.0000
# - Magnetic moment: 0.0000 μB/atom
# - ρ: 7.46 g cm⁻³
# - Formation energy from the elements: 0.2 eV/f.u.

***

Entry 2:
# PrNd2DyEr2 (PBE-GGA, relaxed)
data_PrNd2DyEr2
_chemical_formula_sum 'Pr2 Nd4 Dy2 Er4'
_symmetry_space_group_name_H-M 'P n n m'
_symmetry_Int_Tables_number 58
_symmetry_space_group_name_Hall '-P 2 2n'
_cell_length_a 7.0522
_cell_length_b 9.8881
_cell_length_c 5.6849
_cell_angle_alpha 90.00
_cell_angle_beta 90.00
_cell_angle_gamma 90.00
loop_
_atom_site_label
_atom_site_type_symbol
_atom_site_fract_x
_atom_site_fract_y
_atom_site_fract_z
Pr1 Pr 0.0000 0.0000 0.0000
Nd1 Nd 0.2474 0.3335 0.0000
Dy1 Dy 0.0000 0.5000 0.5000
Er1 Er 0.2497 0.1669 0.5000
# - Magnetic moment: 0.0000 μB/atom
# - ρ: 7.76 g cm⁻³
# - Formation energy from the elements: 0.4 eV/f.u.

***

Entry 3:
# PrNd2Dy5Er (PBE-GGA, relaxed)
data_PrNd2Dy5Er
_chemical_formula_sum 'Pr4 Nd8 Dy20 Er4'
_symmetry_space_group_name_H-M 'I 4/m c m'
_symmetry_Int_Tables_number 140
_symmetry_space_group_name_Hall '-I 4 2c'
_cell_length_a 8.7579
_cell_length_b 8.7579
_cell_length_c 15.5216
_cell_angle_alpha 90.00
_cell_angle_beta 90.00
_cell_angle_gamma 90.00
loop_
_atom_site_label
_atom_site_type_symbol
_atom_site_fract_x
_atom_site_fract_y
_atom_site_fract_z
Pr1 Pr 0.0000 0.0000 0.2500
Nd1 Nd 0.1169 0.3831 0.0000
Dy1 Dy 0.0000 0.0000 0.0000
Dy2 Dy 0.2101 0.2899 0.3622
Er1 Er 0.0000 0.5000 0.2500
# - Magnetic moment: 0.0000 μB/atom
# - ρ: 7.86 g cm⁻³
# - Formation energy from the elements: 2.4 eV/f.u.

***

Entry 4:
# Pr4Nd2Dy2Er (PBE-GGA, relaxed)
data_Pr4Nd2Dy2Er
_chemical_formula_sum 'Pr8 Nd4 Dy4 Er2'
_symmetry_space_group_name_H-M 'C 1 2/m 1'
_symmetry_Int_Tables_number 12
_symmetry_space_group_name_Hall '-C 2y'
_cell_length_a 15.5118
_cell_length_b 5.1719
_cell_length_c 8.1227
_cell_angle_alpha 90.00
_cell_angle_beta 108.63
_cell_angle_gamma 90.00
loop_
_atom_site_label
_atom_site_type_symbol
_atom_site_fract_x
_atom_site_fract_y
_atom_site_fract_z
Pr1 Pr 0.0547 0.0000 0.3298
Pr2 Pr 0.2218 0.5000 0.3297
Nd1 Nd 0.1117 0.5000 0.6708
Dy1 Dy 0.1665 0.0000 0.0000
Er1 Er 0.0000 0.5000 0.0000
# - Magnetic moment: 0.0000 μB/atom
# - ρ: 7.23 g cm⁻³
# - Formation energy from the elements: 0.2 eV/f.u.

***

Entry 5:
# Pr6Nd3Dy2Er (PBE-GGA, relaxed)
data_Pr6Nd3Dy2Er
_chemical_formula_sum 'Pr12 Nd6 Dy4 Er2'
_symmetry_space_group_name_H-M 'C 1 2/m 1'
_symmetry_Int_Tables_number 12
_symmetry_space_group_name_Hall '-C 2y'
_cell_length_a 6.3576
_cell_length_b 11.0165
_cell_length_c 12.0539
_cell_angle_alpha 90.00
_cell_angle_beta 100.12
_cell_angle_gamma 90.00
loop_
_atom_site_label
_atom_site_type_symbol
_atom_site_fract_x
_atom_site_fract_y
_atom_site_fract_z
Pr1 Pr 0.2494 0.0000 0.2458
Pr2 Pr 0.2490 0.3335 0.2457
Nd1 Nd 0.0000 0.0000 0.5000
Nd2 Nd 0.0000 0.3334 0.5000
Dy1 Dy 0.0000 0.1667 0.0000
Er1 Er 0.0000 0.5000 0.0000
# - Magnetic moment: 0.0000 μB/atom
# - ρ: 7.07 g cm⁻³
# - Formation energy from the elements: 0.2 eV/f.u.

***

Entry 6:
# PrNd2Dy3Er6 (PBE-GGA, relaxed)
data_PrNd2Dy3Er6
_chemical_formula_sum 'Pr2 Nd4 Dy6 Er12'
_symmetry_space_group_name_H-M 'C 1 2/m 1'
_symmetry_Int_Tables_number 12
_symmetry_space_group_name_Hall '-C 2y'
_cell_length_a 6.1809
_cell_length_b 10.6994
_cell_length_c 11.7374
_cell_angle_alpha 90.00
_cell_angle_beta 100.06
_cell_angle_gamma 90.00
loop_
_atom_site_label
_atom_site_type_symbol
_atom_site_fract_x
_atom_site_fract_y
_atom_site_fract_z
Pr1 Pr 0.0000 0.0000 0.0000
Nd1 Nd 0.0000 0.3333 0.0000
Dy1 Dy 0.0000 0.1667 0.5000
Dy2 Dy 0.0000 0.5000 0.5000
Er1 Er 0.2483 0.0000 0.7463
Er2 Er 0.2480 0.3333 0.7463
# - Magnetic moment: 0.0000 μB/atom
# - ρ: 8.34 g cm⁻³
# - Formation energy from the elements: 0.2 eV/f.u.

***

Entry 7:
# Pr2Nd3Dy6Er (PBE-GGA, relaxed)
data_Pr2Nd3Dy6Er
_chemical_formula_sum 'Pr4 Nd6 Dy12 Er2'
_symmetry_space_group_name_H-M 'C 1 2/m 1'
_symmetry_Int_Tables_number 12
_symmetry_space_group_name_Hall '-C 2y'
_cell_length_a 6.2472
_cell_length_b 10.8172
_cell_length_c 11.8843
_cell_angle_alpha 90.00
_cell_angle_beta 100.06
_cell_angle_gamma 90.00
loop_
_atom_site_label
_atom_site_type_symbol
_atom_site_fract_x
_atom_site_fract_y
_atom_site_fract_z
Pr1 Pr 0.0000 0.1664 0.0000
Nd1 Nd 0.0000 0.0000 0.5000
Nd2 Nd 0.0000 0.3332 0.5000
Dy1 Dy 0.2489 0.5000 0.7503
Dy2 Dy 0.2504 0.1663 0.7507
Er1 Er 0.0000 0.5000 0.0000
# - Magnetic moment: 0.0000 μB/atom
# - ρ: 7.80 g cm⁻³
# - Formation energy from the elements: 0.2 eV/f.u.

***

Entry 8:
# Pr2NdDyEr (PBE-GGA, relaxed)
data_Pr2NdDyEr
_chemical_formula_sum 'Pr4 Nd2 Dy2 Er2'
_symmetry_space_group_name_H-M 'P 1 2/c 1'
_symmetry_Int_Tables_number 13
_symmetry_space_group_name_Hall '-P 2yc'
_cell_length_a 8.2446
_cell_length_b 6.8160
_cell_length_c 6.2244
_cell_angle_alpha 90.00
_cell_angle_beta 90.10
_cell_angle_gamma 90.00
loop_
_atom_site_label
_atom_site_type_symbol
_atom_site_fract_x
_atom_site_fract_y
_atom_site_fract_z
Pr1 Pr 0.1949 0.1919 0.2507
Nd1 Nd 0.5000 0.5000 0.0000
Dy1 Dy 0.5000 0.0800 0.7500
Er1 Er 0.0000 0.3453 0.7500
# - Magnetic moment: 0.0000 μB/atom
# - ρ: 7.18 g cm⁻³
# - Formation energy from the elements: 1.3 eV/f.u.

***

Entry 9:
# PrNd3Dy6Er2 (PBE-GGA, relaxed)
data_PrNd3Dy6Er2
_chemical_formula_sum 'Pr2 Nd6 Dy12 Er4'
_symmetry_space_group_name_H-M 'C 1 2/m 1'
_symmetry_Int_Tables_number 12
_symmetry_space_group_name_Hall '-C 2y'
_cell_length_a 6.2144
_cell_length_b 10.7576
_cell_length_c 11.8590
_cell_angle_alpha 90.00
_cell_angle_beta 100.02
_cell_angle_gamma 90.00
loop_
_atom_site_label
_atom_site_type_symbol
_atom_site_fract_x
_atom_site_fract_y
_atom_site_fract_z
Pr1 Pr 0.0000 0.0000 0.0000
Nd1 Nd 0.0000 0.1669 0.5000
Nd2 Nd 0.0000 0.5000 0.5000
Dy1 Dy 0.2487 0.5000 0.2476
Dy2 Dy 0.2503 0.1671 0.2476
Er1 Er 0.0000 0.3332 0.0000
# - Magnetic moment: 0.0000 μB/atom
# - ρ: 8.01 g cm⁻³
# - Formation energy from the elements: 0.2 eV/f.u.

***

Entry 10:
# Pr2Nd6DyEr (PBE-GGA, relaxed)
data_Pr2Nd6DyEr
_chemical_formula_sum 'Pr8 Nd24 Dy4 Er4'
_symmetry_space_group_name_H-M 'C 1 2/c 1'
_symmetry_Int_Tables_number 15
_symmetry_space_group_name_Hall '-C 2yc'
_cell_length_a 9.2469
_cell_length_b 15.4221
_cell_length_c 9.8981
_cell_angle_alpha 90.00
_cell_angle_beta 98.72
_cell_angle_gamma 90.00
loop_
_atom_site_label
_atom_site_type_symbol
_atom_site_fract_x
_atom_site_fract_y
_atom_site_fract_z
Pr1 Pr 0.2452 0.0503 0.0422
Nd1 Nd 0.0629 0.1854 0.4448
Nd2 Nd 0.1031 0.3957 0.6191
Nd3 Nd 0.2049 0.2204 0.8097
Dy1 Dy 0.0000 0.0190 0.7500
Er1 Er 0.0000 0.4081 0.2500
# - Magnetic moment: 0.0000 μB/atom
# - ρ: 7.03 g cm⁻³
# - Formation energy from the elements: 1.1 eV/f.u.